## Ac4N (PBE-GGA)

Data for crystalline Ac4N at its relaxed geometry.

Unit cell a=7.281 b=7.281 c=11.687 alpha=113.72 beta=113.72 gamma=47.59
Positions (direct):
Ac 0.102 0.131 0.189
Ac 0.131 0.102 0.689
Ac 0.374 0.391 0.572
Ac 0.391 0.374 0.072
Ac 0.609 0.626 0.928
Ac 0.626 0.609 0.428
Ac 0.869 0.898 0.311
Ac 0.898 0.869 0.811
N 0.256 0.744 0.750
N 0.744 0.256 0.250

## Properties
- Magnetic moment: 0.0 μB/f.u.
- Formation energy without anion corrections: -383.3 meV/atom
- Uncorrected energy: -5.34 eV per atom
- V: 410.9 Å³ per cell


## MgTlSi2Ir (PBE-GGA)

Data for crystalline MgTlSi2Ir at its relaxed geometry.

Unit cell a=4.843 b=4.843 c=4.810 alpha=90.00 beta=90.00 gamma=90.00
Positions (direct):
Mg 0.000 0.000 0.000
Tl 0.500 0.500 0.500
Si 0.000 0.500 0.000
Si 0.500 0.000 0.000
Ir 0.000 0.000 0.500

## Properties
- Magnetic moment: 0.0 μB/f.u.
- Formation energy without anion corrections: 1145.4 meV/atom
- Uncorrected energy: -3.59 eV per atom
- V: 112.8 Å³ per cell


## VBrCl3 (PBE-GGA)

Data for crystalline VBrCl3 at its relaxed geometry.

Unit cell a=9.690 b=3.553 c=8.671 alpha=90.00 beta=90.00 gamma=90.00
Positions (direct):
V 0.250 0.000 0.234
V 0.750 0.000 0.766
Br 0.250 0.000 0.508
Br 0.750 0.000 0.492
Cl 0.083 0.500 0.235
Cl 0.250 0.000 0.980
Cl 0.417 0.500 0.235
Cl 0.583 0.500 0.765
Cl 0.750 0.000 0.020
Cl 0.917 0.500 0.765

## Properties
- Magnetic moment: 1.0 μB/f.u.
- Formation energy without anion corrections: -991.6 meV/atom
- Uncorrected energy: -4.26 eV per atom
- V: 298.5 Å³ per cell


Which of these has the highest formation energy without anion corrections?
MgTlSi2Ir


Which value of uncorrected energy does entry 1 give?
-5.34 eV per atom